Entry from Alexandria via LeMat-Bulk: an optimized crystal structure of Ac3Ge9Os2 (GGA-PBE).

```
data_Ac3Ge9Os2
_symmetry_space_group_name_H-M 'P 1'
_symmetry_Int_Tables_number 1
_symmetry_space_group_name_Hall 'P 1'
_cell_length_a 4.3276
_cell_length_b 8.7004
_cell_length_c 8.7004
_cell_angle_alpha 81.08
_cell_angle_beta 75.60
_cell_angle_gamma 75.60
loop_
_atom_site_label
_atom_site_type_symbol
_atom_site_fract_x
_atom_site_fract_y
_atom_site_fract_z
Ac1 Ac 0.3178 0.6822 0.6822
Ac2 Ac 0.0000 0.0000 0.0000
Ac3 Ac 0.6822 0.3178 0.3178
Os1 Os 0.5000 0.2779 0.7221
Os2 Os 0.5000 0.7221 0.2779
Ge1 Ge 0.1189 0.1633 0.5989
Ge2 Ge 0.0000 0.5000 0.5000
Ge3 Ge 0.3401 0.0219 0.2978
Ge4 Ge 0.6599 0.9781 0.7022
Ge5 Ge 0.8811 0.8367 0.4011
Ge6 Ge 0.1189 0.5989 0.1633
Ge7 Ge 0.6599 0.7022 0.9781
Ge8 Ge 0.8811 0.4011 0.8367
Ge9 Ge 0.3401 0.2978 0.0219
```

Computed properties:
The density of states at the Fermi level comes out at 4.6 states/eV/f.u. As for the symmetry: Immm. The value obtained for the magnetization is 0.0 Bohr magnetons per cell. The calculation puts the energy of formation at -3.90 eV/f.u.